[1]
Computed, not measured: a geometry-optimized La4AgBr2 structure at the PBE-GGA level of DFT.

Values from the calculation:
Symmetry = Cmcm, No. 63

Cell lengths 3.951, 7.364, 15.680 Å; angles 90.00, 90.00, 105.56 degrees
Element x y z (fractional)
1 Br 0.847 0.694 0.935
2 Br 0.153 0.306 0.065
3 Br 0.847 0.694 0.565
4 Br 0.153 0.306 0.435
5 Ag 0.422 0.845 0.250
6 Ag 0.578 0.155 0.750
7 La 0.190 0.380 0.630
8 La 0.810 0.620 0.370
9 La 0.810 0.620 0.130
10 La 0.190 0.380 0.870
11 La 0.908 0.816 0.750
12 La 0.092 0.184 0.250
13 La 0.500 0.000 0.000
14 La 0.500 0.000 0.500

[2]
Computed, not measured: a geometry-optimized LaAgBr2 structure at the PBE-GGA level of DFT.

Values from the calculation:
Energy above the lowest structure with this stoichiometry = 25.27 kJ per mole of atoms
Symmetry = C2/m, No. 12

Cell lengths 6.044, 6.044, 3.861 Å; angles 71.19, 71.19, 106.06 degrees
Element x y z (fractional)
1 Br 0.000 0.000 0.000
2 Br 0.500 0.500 0.000
3 Ag 0.000 0.500 0.500
4 La 0.500 0.000 0.500

[3]
Computed, not measured: a geometry-optimized LaAgBr structure at the PBE-GGA level of DFT.

Values from the calculation:
Energy above the lowest structure with this stoichiometry = 32.36 kJ per mole of atoms
Symmetry = F-43m, No. 216

Cell lengths 5.132, 5.132, 5.132 Å; angles 60.00, 60.00, 60.00 degrees
Element x y z (fractional)
1 Br 0.500 0.500 0.500
2 Ag 0.000 0.000 0.000
3 La 0.750 0.750 0.750

[4]
Computed, not measured: a geometry-optimized La4AgBr structure at the PBE-GGA level of DFT.

Values from the calculation:
Symmetry = F-43m, No. 216

Cell lengths 6.497, 6.497, 6.497 Å; angles 60.00, 60.00, 60.00 degrees
Element x y z (fractional)
1 La 0.376 0.872 0.376
2 La 0.872 0.376 0.376
3 La 0.376 0.376 0.872
4 La 0.376 0.376 0.376
5 Ag 0.750 0.750 0.750
6 Br 0.000 0.000 0.000

[5]
Computed, not measured: a geometry-optimized LaAgBr4 structure at the PBE-GGA level of DFT.

Values from the calculation:
Energy above the lowest structure with this stoichiometry = 118.85 kJ per mole of atoms
Symmetry = F-43m, No. 216

Cell lengths 6.266, 6.266, 6.266 Å; angles 60.00, 60.00, 60.00 degrees
Each line ends with the local moment (μB).
Element x y z (fractional)
1 La 0.750 0.750 0.750  0.04
2 Ag 0.000 0.000 0.000  0.03
3 Br 0.876 0.375 0.375  0.24
4 Br 0.375 0.375 0.876  0.24
5 Br 0.375 0.876 0.375  0.24
6 Br 0.375 0.375 0.375  0.24

[6]
Computed, not measured: a geometry-optimized LaAgBr structure at the PBE-GGA level of DFT.

Values from the calculation:
Energy above the lowest structure with this stoichiometry = 0.14 kJ per mole of atoms
Symmetry = C2/m, No. 12

Cell lengths 4.607, 4.607, 10.654 Å; angles 89.90, 89.90, 63.39 degrees
Element x y z (fractional)
1 La 0.972 0.972 0.680
2 La 0.028 0.028 0.320
3 Ag 0.672 0.672 0.502
4 Ag 0.328 0.328 0.498
5 Br 0.681 0.681 0.162
6 Br 0.319 0.319 0.838

[7]
Computed, not measured: a geometry-optimized LaAgBr4 structure at the PBE-GGA level of DFT.

Values from the calculation:
Energy above the lowest structure with this stoichiometry = 7.35 kJ per mole of atoms
Symmetry = I-4, No. 82

Cell lengths 6.295, 6.295, 6.295 Å; angles 111.86, 111.86, 104.80 degrees
Element x y z (fractional)
1 La 0.750 0.250 0.500
2 Ag 0.500 0.500 0.000
3 Br 0.155 0.114 0.483
4 Br 0.632 0.673 0.517
5 Br 0.327 0.845 0.959
6 Br 0.886 0.368 0.041

[8]
Computed, not measured: a geometry-optimized LaAgBr2 structure at the PBE-GGA level of DFT.

Values from the calculation:
Energy above the lowest structure with this stoichiometry = 20.32 kJ per mole of atoms
Symmetry = F-43m, No. 216

Cell lengths 5.334, 5.334, 5.334 Å; angles 60.00, 60.00, 60.00 degrees
Element x y z (fractional)
1 Br 0.000 0.000 0.000
2 Br 0.250 0.250 0.250
3 Ag 0.500 0.500 0.500
4 La 0.750 0.750 0.750

[9]
Computed, not measured: a geometry-optimized LaAgBr2 structure at the PBE-GGA level of DFT.

Values from the calculation:
Energy above the lowest structure with this stoichiometry = 0.00 kJ per mole of atoms
Symmetry = Cm, No. 8

Cell lengths 5.854, 5.854, 7.698 Å; angles 61.15, 61.15, 40.92 degrees
Element x y z (fractional)
1 Br 0.969 0.969 0.947
2 Br 0.814 0.814 0.604
3 Ag 0.211 0.211 0.311
4 La 0.506 0.506 0.638

[10]
Computed, not measured: a geometry-optimized LaAgBr2 structure at the PBE-GGA level of DFT.

Values from the calculation:
Energy above the lowest structure with this stoichiometry = 3.11 kJ per mole of atoms
Symmetry = C2/m, No. 12

Cell lengths 8.004, 8.004, 5.384 Å; angles 70.55, 70.55, 28.99 degrees
Element x y z (fractional)
1 Br 0.099 0.099 0.899
2 Br 0.401 0.401 0.601
3 Ag 0.250 0.250 0.250
4 La 0.750 0.750 0.750

[11]
Computed, not measured: a geometry-optimized LaAgBr2 structure at the PBE-GGA level of DFT.

Values from the calculation:
Energy above the lowest structure with this stoichiometry = 51.86 kJ per mole of atoms
Symmetry = I-42d, No. 122

Cell lengths 6.926, 6.926, 7.933 Å; angles 64.12, 64.12, 90.00 degrees
Each line ends with the local moment (μB).
Element x y z (fractional)
1 Br 0.597 0.125 0.250  0.02
2 Br 0.153 0.625 0.250  0.02
3 Br 0.375 0.403 0.750  0.02
4 Br 0.875 0.847 0.750  0.02
5 Ag 0.500 0.500 0.000  0.02
6 Ag 0.250 0.750 0.500  0.02
7 La 0.000 0.000 0.000  0.54
8 La 0.750 0.250 0.500  0.54

[12]
Computed, not measured: a geometry-optimized La4AgBr5 structure at the PBE-GGA level of DFT.

Values from the calculation:
Symmetry = C2/m, No. 12

Cell lengths 5.322, 7.430, 8.281 Å; angles 92.36, 108.74, 90.00 degrees
Element x y z (fractional)
1 La 0.668 0.237 0.337
2 La 0.011 0.755 0.022
3 La 0.332 0.763 0.663
4 La 0.989 0.245 0.978
5 Ag 0.500 0.000 0.000
6 Br 0.173 0.018 0.346
7 Br 0.162 0.487 0.324
8 Br 0.838 0.513 0.676
9 Br 0.500 0.500 0.000
10 Br 0.827 0.982 0.654

[13]
Computed, not measured: a geometry-optimized La2AgBr2 structure at the PBE-GGA level of DFT.

Values from the calculation:
Energy above the lowest structure with this stoichiometry = 0.00 kJ per mole of atoms
Symmetry = R-3m, No. 166

Cell lengths 4.332, 4.332, 11.453 Å; angles 79.10, 79.10, 60.00 degrees
Each line ends with the local moment (μB).
Element x y z (fractional)
1 La 0.610 0.610 0.169  0.14
2 La 0.390 0.390 0.831  0.14
3 Ag 0.000 0.000 0.000  0.03
4 Br 0.222 0.222 0.335  0.00
5 Br 0.778 0.778 0.665  0.00

[14]
Computed, not measured: a geometry-optimized LaAg5Br8 structure at the PBE-GGA level of DFT.

Values from the calculation:
Symmetry = I-4, No. 82

Cell lengths 8.058, 8.058, 8.058 Å; angles 108.29, 108.29, 111.86 degrees
Element x y z (fractional)
1 La 0.250 0.750 0.500
2 Ag 0.971 0.470 0.944
3 Ag 0.530 0.475 0.501
4 Ag 0.525 0.027 0.056
5 Ag 0.500 0.500 0.000
6 Ag 0.973 0.029 0.499
7 Br 0.057 0.851 0.205
8 Br 0.149 0.353 0.206
9 Br 0.558 0.852 0.295
10 Br 0.148 0.442 0.706
11 Br 0.736 0.442 0.294
12 Br 0.147 0.943 0.794
13 Br 0.647 0.853 0.795
14 Br 0.558 0.264 0.705

[15]
Computed, not measured: a geometry-optimized LaAgBr2 structure at the PBE-GGA level of DFT.

Values from the calculation:
Energy above the lowest structure with this stoichiometry = 7.52 kJ per mole of atoms
Symmetry = P2/m, No. 10

Cell lengths 4.339, 7.469, 7.504 Å; angles 48.80, 90.00, 90.00 degrees
Each line ends with the local moment (μB).
Element x y z (fractional)
1 Ag 0.500 0.750 0.750  0.00
2 Br 0.000 0.105 0.105  0.00
3 Br 0.000 0.395 0.395  0.00
4 La 0.500 0.250 0.250  0.18

[16]
Computed, not measured: a geometry-optimized La7AgBr12 structure at the PBE-GGA level of DFT.

Values from the calculation:
Symmetry = R-3, No. 148

Cell lengths 9.840, 9.840, 9.840 Å; angles 109.94, 109.94, 109.94 degrees
Each line ends with the local moment (μB).
Element x y z (fractional)
1 La 0.939 0.642 0.854  0.12
2 La 0.358 0.146 0.061  0.12
3 La 0.146 0.061 0.358  0.12
4 La 0.500 0.500 0.500  0.45
5 La 0.854 0.939 0.642  0.12
6 La 0.642 0.854 0.939  0.12
7 La 0.061 0.358 0.146  0.12
8 Ag 0.000 0.000 0.000  0.03
9 Br 0.923 0.301 0.787  0.00
10 Br 0.699 0.213 0.077  0.00
11 Br 0.490 0.159 0.396  0.00
12 Br 0.841 0.604 0.510  0.00
13 Br 0.213 0.077 0.699  0.00
14 Br 0.604 0.510 0.841  0.00
15 Br 0.396 0.490 0.159  0.00
16 Br 0.787 0.923 0.301  0.00
17 Br 0.159 0.396 0.490  0.00
18 Br 0.510 0.841 0.604  0.00
19 Br 0.301 0.787 0.923  0.00
20 Br 0.077 0.699 0.213  0.00

[17]
Computed, not measured: a geometry-optimized LaAgBr structure at the PBE-GGA level of DFT.

Values from the calculation:
Energy above the lowest structure with this stoichiometry = 23.38 kJ per mole of atoms
Symmetry = I4mm, No. 107

Cell lengths 7.282, 7.283, 7.283 Å; angles 150.76, 150.76, 41.83 degrees
Element x y z (fractional)
1 Br 0.697 0.697 0.000
2 Ag 0.976 0.976 0.000
3 La 0.327 0.327 0.000

[18]
Computed, not measured: a geometry-optimized LaAgBr2 structure at the PBE-GGA level of DFT.

Values from the calculation:
Energy above the lowest structure with this stoichiometry = 13.56 kJ per mole of atoms
Symmetry = P4/mmm, No. 123

Cell lengths 4.864, 4.859, 4.297 Å; angles 90.00, 90.00, 90.00 degrees
Element x y z (fractional)
1 Br 0.000 0.000 0.000
2 Br 0.500 0.500 0.000
3 Ag 0.000 0.500 0.500
4 La 0.500 0.000 0.500

[19]
Computed, not measured: a geometry-optimized LaAgBr2 structure at the PBE-GGA level of DFT.

Values from the calculation:
Energy above the lowest structure with this stoichiometry = 42.35 kJ per mole of atoms
Symmetry = R-3m, No. 166

Cell lengths 9.448, 9.448, 9.448 Å; angles 25.08, 25.08, 25.08 degrees
Element x y z (fractional)
1 Br 0.893 0.893 0.893
2 Br 0.107 0.107 0.107
3 Ag 0.500 0.500 0.500
4 La 0.000 0.000 0.000

[20]
Computed, not measured: a geometry-optimized LaAgBr2 structure at the PBE-GGA level of DFT.

Values from the calculation:
Energy above the lowest structure with this stoichiometry = 6.71 kJ per mole of atoms
Symmetry = Pm, No. 6

Cell lengths 3.869, 3.871, 9.094 Å; angles 64.87, 90.00, 90.00 degrees
Element x y z (fractional)
1 Br 0.000 0.102 0.899
2 Br 0.500 0.185 0.313
3 Ag 0.500 0.753 0.748
4 La 0.000 0.461 0.540

[21]
Computed, not measured: a geometry-optimized LaAgBr2 structure at the PBE-GGA level of DFT.

Values from the calculation:
Energy above the lowest structure with this stoichiometry = 5.96 kJ per mole of atoms
Symmetry = R3m, No. 160

Cell lengths 8.073, 8.073, 8.073 Å; angles 33.51, 33.51, 33.51 degrees
Element x y z (fractional)
1 Br 0.041 0.041 0.041
2 Br 0.221 0.221 0.221
3 Ag 0.756 0.756 0.756
4 La 0.483 0.483 0.483

[22]
Computed, not measured: a geometry-optimized LaAgBr2 structure at the PBE-GGA level of DFT.

Values from the calculation:
Energy above the lowest structure with this stoichiometry = 10.41 kJ per mole of atoms
Symmetry = Imm2, No. 44

Cell lengths 7.910, 7.910, 7.910 Å; angles 152.92, 142.24, 47.08 degrees
Element x y z (fractional)
1 Br 0.988 0.988 0.000
2 Br 0.673 0.173 0.500
3 Ag 0.328 0.828 0.500
4 La 0.511 0.511 0.000

[23]
Computed, not measured: a geometry-optimized LaAg3Br6 structure at the PBE-GGA level of DFT.

Values from the calculation:
Symmetry = P-1, No. 2

Cell lengths 8.340, 8.340, 8.346 Å; angles 60.38, 57.85, 57.85 degrees
Element x y z (fractional)
1 La 0.000 0.000 0.000
2 Ag 0.500 0.500 0.000
3 Ag 0.500 0.000 0.500
4 Ag 0.500 0.500 0.500
5 Br 0.722 0.776 0.273
6 Br 0.278 0.224 0.727
7 Br 0.725 0.276 0.772
8 Br 0.275 0.724 0.228
9 Br 0.217 0.746 0.745
10 Br 0.783 0.254 0.255

[24]
Computed, not measured: a geometry-optimized LaAgBr structure at the PBE-GGA level of DFT.

Values from the calculation:
Energy above the lowest structure with this stoichiometry = 30.16 kJ per mole of atoms
Symmetry = P-6m2, No. 187

Cell lengths 5.142, 5.142, 3.772 Å; angles 90.00, 90.00, 120.00 degrees
Element x y z (fractional)
1 Br 0.667 0.333 0.500
2 Ag 0.000 0.000 0.000
3 La 0.333 0.667 0.500

[25]
Computed, not measured: a geometry-optimized LaAgBr2 structure at the PBE-GGA level of DFT.

Values from the calculation:
Energy above the lowest structure with this stoichiometry = 8.06 kJ per mole of atoms
Symmetry = I4/mmm, No. 139

Cell lengths 5.570, 5.570, 5.570 Å; angles 128.00, 127.96, 76.66 degrees
Element x y z (fractional)
1 Br 0.000 0.000 0.000
2 Br 0.500 0.500 0.000
3 Ag 0.250 0.750 0.500
4 La 0.750 0.250 0.500

[26]
Computed, not measured: a geometry-optimized La2AgBr2 structure at the PBE-GGA level of DFT.

Values from the calculation:
Energy above the lowest structure with this stoichiometry = 22.32 kJ per mole of atoms
Symmetry = P4/mbm, No. 127

Cell lengths 8.536, 8.536, 3.909 Å; angles 90.00, 90.00, 90.00 degrees
Element x y z (fractional)
1 Br 0.133 0.633 0.500
2 Br 0.633 0.867 0.500
3 Br 0.867 0.367 0.500
4 Br 0.367 0.133 0.500
5 Ag 0.000 0.000 0.000
6 Ag 0.500 0.500 0.000
7 La 0.337 0.837 0.000
8 La 0.837 0.663 0.000
9 La 0.663 0.163 0.000
10 La 0.163 0.337 0.000

[27]
Computed, not measured: a geometry-optimized LaAgBr structure at the PBE-GGA level of DFT.

Values from the calculation:
Energy above the lowest structure with this stoichiometry = 0.00 kJ per mole of atoms
Symmetry = R-3m, No. 166

Cell lengths 4.880, 4.880, 9.061 Å; angles 74.38, 74.38, 60.00 degrees
Element x y z (fractional)
1 La 0.569 0.569 0.293
2 La 0.431 0.431 0.707
3 Br 0.291 0.291 0.127
4 Br 0.709 0.709 0.873
5 Ag 0.835 0.835 0.496
6 Ag 0.165 0.165 0.504

Calculated raw formation energy, -0.76, -0.80, -0.63, 0.19, -0.17, -0.96, -1.33, -0.86, -1.07, -1.03, -0.53, -1.20, -1.09, -0.77, -0.99, -1.61, -0.72, -0.93, -0.63, -1.00, -1.00, -0.96, -0.93, -0.65, -0.98, -0.86, -0.96 eV/atom (same order as the records).